(1)
First-principles (PBE) data for a relaxed structure of LiCa2YSe4, as listed in Alexandria via LeMat-Bulk.

Computed properties:
- Energy relative to the elements, uncorrected: -1838 meV per atom
- Total moment: 0.00 μB per cell
- Total DFT energy (no corrections): -5.128 eV per atom

POSCAR file:
```
LiCa2YSe4
1.0
-1.561 3.513 1.580
-6.195 -3.287 1.188
4.136 -0.752 5.761
Y Ca Se Li
1 2 4 1
direct
0.000 0.000 0.000
0.000 0.500 0.500
0.500 0.000 0.500
0.000 0.750 0.242
0.000 0.250 0.758
0.500 0.249 0.238
0.500 0.751 0.762
0.500 0.500 0.000
```

---

(2)
First-principles (PBE) data for a relaxed structure of Tc2NiPb, as listed in Alexandria via LeMat-Bulk.

Computed properties:
- Total moment: 0.00 μB per cell
- Total DFT energy (no corrections): -7.032 eV per atom

POSCAR file:
```
Tc2NiPb
1.0
3.097 -0.010 0.000
0.009 3.097 0.000
0.000 0.000 6.868
Ni Tc Pb
1 2 1
direct
0.500 0.500 0.250
0.000 0.000 0.436
0.000 0.000 0.064
0.500 0.500 0.750
```

---

(3)
First-principles (PBE) data for a relaxed structure of MoP4Cl, as listed in Alexandria via LeMat-Bulk.

Computed properties:
- Energy relative to the elements, uncorrected: 783 meV per atom
- Total moment: 2.55 μB per cell
- Total DFT energy (no corrections): -4.936 eV per atom

POSCAR file:
```
MoP4Cl
1.0
0.000 3.715 3.715
3.715 0.000 3.715
3.715 3.715 0.000
Cl P Mo
1 4 1
direct
0.750 0.750 0.750
0.361 0.361 0.361
0.918 0.361 0.361
0.361 0.361 0.918
0.361 0.918 0.361
0.000 0.000 0.000
```

---

(4)
First-principles (PBE) data for a relaxed structure of MoN, as listed in Alexandria via LeMat-Bulk.

Computed properties:
- Energy relative to the elements, uncorrected: -137 meV per atom
- Total moment: 0.00 μB per cell
- Total DFT energy (no corrections): -9.715 eV per atom

POSCAR file:
```
MoN
1.0
-0.565 -1.184 -2.535
0.672 -2.568 1.050
-5.688 -2.684 0.927
N Mo
2 2
direct
0.645 0.645 0.212
0.355 0.355 0.788
0.102 0.102 0.299
0.898 0.898 0.701
```

---

(5)
First-principles (PBE) data for a relaxed structure of PmHoP, as listed in Alexandria via LeMat-Bulk.

Computed properties:
- Total moment: 0.00 μB per cell
- Total DFT energy (no corrections): -5.741 eV per atom
- Energy above the lowest structure with this stoichiometry: 11.2 kJ/mol of atoms

POSCAR file:
```
PmHoP
1.0
4.756 0.000 0.000
2.378 4.119 0.000
2.378 1.373 3.883
P Pm Ho
1 1 1
direct
0.250 0.250 0.250
0.500 0.500 0.500
0.000 0.000 0.000
```

---

(6)
First-principles (PBE) data for a relaxed structure of BaY3Fe, as listed in Alexandria via LeMat-Bulk.

Computed properties:
- Total moment: 0.25 μB per cell
- Total DFT energy (no corrections): -4.094 eV per atom
- Energy above the lowest structure with this stoichiometry: 168.3 kJ/mol of atoms

POSCAR file:
```
BaY3Fe
1.0
5.572 0.000 0.000
0.000 5.572 0.000
0.000 0.000 5.572
Ba Fe Y
1 1 3
direct
0.000 0.000 0.000
0.500 0.500 0.500
0.000 0.500 0.000
0.500 0.000 0.000
0.000 0.000 0.500
```

---

(7)
First-principles (PBE) data for a relaxed structure of La2Zn2Sb, as listed in Alexandria via LeMat-Bulk.

Computed properties:
- Energy relative to the elements, uncorrected: -295 meV per atom
- Total moment: 0.00 μB per cell
- Total DFT energy (no corrections): -3.600 eV per atom
- Energy above the lowest structure with this stoichiometry: 24.5 kJ/mol of atoms

POSCAR file:
```
La2Zn2Sb
1.0
6.011 0.000 0.000
0.000 6.011 0.000
3.006 3.006 3.872
Sb La Zn
1 2 2
direct
0.000 0.000 0.000
0.750 0.250 0.500
0.250 0.750 0.500
0.648 0.648 0.704
0.352 0.352 0.296
```

---

(8)
First-principles (PBE) data for a relaxed structure of Ta2Be2Cd, as listed in Alexandria via LeMat-Bulk.

Computed properties:
- Total moment: 0.00 μB per cell
- Total DFT energy (no corrections): -5.916 eV per atom
- Energy above the lowest structure with this stoichiometry: 42.1 kJ/mol of atoms

POSCAR file:
```
Ta2Be2Cd
1.0
3.961 0.000 0.000
0.000 3.961 0.000
1.980 1.980 5.192
Be Ta Cd
2 2 1
direct
0.399 0.399 0.202
0.601 0.601 0.798
0.750 0.250 0.500
0.250 0.750 0.500
0.000 0.000 0.000
```

---

What did the fourth record say?
First-principles (PBE) data for a relaxed structure of MoN, as listed in Alexandria via LeMat-Bulk.

Computed properties:
- Energy relative to the elements, uncorrected: -137 meV per atom
- Total moment: 0.00 μB per cell
- Total DFT energy (no corrections): -9.715 eV per atom

POSCAR file:
```
MoN
1.0
-0.565 -1.184 -2.535
0.672 -2.568 1.050
-5.688 -2.684 0.927
N Mo
2 2
direct
0.645 0.645 0.212
0.355 0.355 0.788
0.102 0.102 0.299
0.898 0.898 0.701
```

---

Question: Which of these has the highest total moment?
Answer: MoP4Cl